Entry 1:
{
  "formula": "TbGdTlGe",
  "functional": "PBE-GGA",
  "state": "optimized geometry",
  "total_energy_ev_per_atom": -6.8731,
  "lattice_angstrom": [[5.2540, 0.0000, 0.0000], [2.6270, 4.5501, 0.0000], [2.6270, 1.5167, 4.2899]],
  "species": ["Ge", "Tb", "Gd", "Tl"],
  "frac_coords": [[0.2500, 0.2500, 0.2500], [0.5000, 0.5000, 0.5000], [0.0000, 0.0000, 0.0000], [0.7500, 0.7500, 0.7500]]
}

Entry 2:
{
  "formula": "Zn3Ni9AsP2",
  "functional": "PBE-GGA",
  "state": "optimized geometry",
  "total_energy_ev_per_atom": -4.8161,
  "lattice_angstrom": [[-4.5287, 0.6865, 3.4038], [0.6559, -4.8514, -2.9326], [4.1386, -3.1535, 6.1425]],
  "species": ["Zn", "Zn", "Zn", "Ni", "Ni", "Ni", "Ni", "Ni", "Ni", "Ni", "Ni", "Ni", "P", "P", "As"],
  "frac_coords": [[0.3333, 0.6667, 0.7546], [0.0000, 0.0000, 0.0000], [0.6667, 0.3333, 0.2454], [0.1403, 0.8597, 0.2692], [0.5000, 0.0000, 0.0000], [0.8597, 0.1403, 0.7308], [0.1403, 0.2807, 0.2692], [0.2807, 0.1403, 0.7308], [0.7193, 0.8597, 0.2692], [0.0000, 0.5000, 0.0000], [0.8597, 0.7193, 0.7308], [0.5000, 0.5000, 0.0000], [0.3333, 0.6667, 0.1768], [0.6667, 0.3333, 0.8232], [0.0000, 0.0000, 0.5000]]
}

Entry 3:
{
  "formula": "SrTbCoN2",
  "functional": "PBE-GGA",
  "state": "optimized geometry",
  "formation_energy_uncorrected_ev_per_atom": -0.674,
  "total_energy_ev_per_atom": -6.6878,
  "lattice_angstrom": [[-3.5501, -3.1768, 1.4839], [3.8019, -2.8636, 2.9651], [-1.2840, 3.9285, 5.3384]],
  "species": ["Co", "Co", "Tb", "Tb", "Sr", "Sr", "N", "N", "N", "N"],
  "frac_coords": [[0.0000, 0.0000, 0.0000], [0.0000, 0.0000, 0.5000], [0.4987, 0.0000, 0.2500], [0.5013, 0.0000, 0.7500], [0.9954, 0.5000, 0.2500], [0.0046, 0.5000, 0.7500], [0.7322, 0.2159, 0.5007], [0.2678, 0.7841, 0.4993], [0.7322, 0.7841, 0.9993], [0.2678, 0.2159, 0.0007]]
}

Entry 4:
{
  "formula": "InAsIrBr2",
  "functional": "PBE-GGA",
  "state": "optimized geometry",
  "formation_energy_uncorrected_ev_per_atom": 0.074,
  "total_energy_ev_per_atom": -3.8448,
  "de_polymorph_mev_per_atom": 0,
  "lattice_angstrom": [[-4.6462, -1.9161, 2.2376], [0.7453, -4.8073, -2.5689], [2.3865, -1.5628, 3.6170]],
  "species": ["Br", "Br", "As", "Ir", "In"],
  "frac_coords": [[0.5000, 0.0000, 0.0000], [0.0000, 0.5000, 0.0000], [0.0000, 0.0000, 0.5000], [0.0000, 0.0000, 0.0000], [0.5000, 0.5000, 0.5000]]
}

Entry 5:
{
  "formula": "Nd5Tm12In3",
  "functional": "PBE-GGA",
  "state": "optimized geometry",
  "total_energy_ev_per_atom": -3.4776,
  "lattice_angstrom": [[15.9443, 0.0000, 0.0000], [-5.3148, 15.0324, 0.0000], [-5.3148, -7.5162, 13.0184]],
  "species": ["Tm", "Tm", "Tm", "Tm", "Tm", "Tm", "Tm", "Tm", "Tm", "Tm", "Tm", "Tm", "Tm", "Tm", "Tm", "Tm", "Tm", "Tm", "Tm", "Tm", "Tm", "Tm", "Tm", "Tm", "Tm", "Tm", "Tm", "Tm", "Tm", "Tm", "Tm", "Tm", "Tm", "Tm", "Tm", "Tm", "Tm", "Tm", "Tm", "Tm", "Tm", "Tm", "Tm", "Tm", "Tm", "Tm", "Tm", "Tm", "Nd", "Nd", "Nd", "Nd", "Nd", "Nd", "Nd", "Nd", "Nd", "Nd", "Nd", "Nd", "Nd", "Nd", "Nd", "Nd", "Nd", "Nd", "Nd", "Nd", "In", "In", "In", "In", "In", "In", "In", "In", "In", "In", "In", "In"],
  "frac_coords": [[0.8493, 0.5800, 0.9303], [0.0697, 0.1497, 0.4190], [0.7693, 0.4190, 0.3493], [0.9200, 0.0697, 0.6507], [0.3493, 0.9190, 0.7693], [0.0810, 0.4303, 0.8503], [0.3503, 0.7693, 0.4200], [0.8503, 0.9303, 0.0810], [0.8503, 0.9200, 0.2693], [0.1507, 0.4200, 0.0697], [0.4200, 0.1507, 0.5697], [0.6507, 0.5697, 0.9200], [0.7693, 0.3503, 0.9200], [0.1507, 0.7307, 0.5810], [0.5800, 0.7307, 0.6497], [0.5697, 0.9190, 0.6497], [0.1497, 0.0800, 0.7307], [0.9200, 0.8503, 0.7693], [0.6497, 0.2307, 0.5800], [0.9190, 0.3493, 0.2693], [0.6497, 0.4190, 0.5697], [0.5810, 0.3503, 0.9303], [0.5810, 0.2307, 0.1507], [0.2307, 0.6497, 0.0800], [0.2693, 0.8493, 0.9190], [0.8493, 0.2693, 0.4190], [0.4200, 0.2693, 0.3503], [0.5697, 0.6507, 0.4200], [0.9303, 0.8503, 0.5810], [0.4303, 0.0810, 0.3503], [0.2693, 0.4200, 0.8503], [0.7307, 0.5800, 0.1497], [0.7307, 0.1507, 0.0810], [0.0697, 0.9200, 0.1507], [0.3493, 0.4303, 0.0800], [0.6507, 0.0810, 0.2307], [0.5800, 0.8493, 0.4303], [0.9303, 0.0800, 0.8493], [0.4190, 0.7693, 0.8493], [0.1497, 0.0697, 0.9190], [0.0800, 0.9303, 0.3493], [0.2307, 0.5810, 0.6507], [0.0810, 0.6507, 0.7307], [0.3503, 0.5810, 0.4303], [0.9190, 0.5697, 0.1497], [0.4190, 0.6497, 0.0697], [0.0800, 0.1497, 0.2307], [0.4303, 0.3493, 0.5800], [0.7500, 0.1250, 0.8750], [0.1250, 0.7500, 0.3750], [0.3750, 0.1250, 0.7500], [0.6250, 0.7500, 0.8750], [0.5000, 0.5000, 0.5000], [0.7500, 0.6250, 0.3750], [0.5000, 0.0000, 0.5000], [0.8750, 0.2500, 0.6250], [0.3750, 0.2500, 0.1250], [0.0000, 0.5000, 0.5000], [0.6250, 0.8750, 0.2500], [0.2500, 0.3750, 0.6250], [0.1250, 0.3750, 0.2500], [0.2500, 0.8750, 0.1250], [0.5000, 0.5000, 0.0000], [0.8750, 0.6250, 0.7500], [0.5000, 0.0000, 0.0000], [0.0000, 0.0000, 0.0000], [0.0000, 0.0000, 0.5000], [0.0000, 0.5000, 0.0000], [0.6250, 0.2500, 0.3750], [0.1250, 0.2500, 0.8750], [0.8750, 0.1250, 0.2500], [0.2500, 0.6250, 0.8750], [0.2500, 0.1250, 0.3750], [0.3750, 0.7500, 0.6250], [0.3750, 0.6250, 0.2500], [0.7500, 0.3750, 0.1250], [0.6250, 0.3750, 0.7500], [0.7500, 0.8750, 0.6250], [0.1250, 0.8750, 0.7500], [0.8750, 0.7500, 0.1250]]
}

Entry 6:
{
  "formula": "AcPm4Rh2",
  "functional": "PBE-GGA",
  "state": "optimized geometry",
  "total_energy_ev_per_atom": -5.8151,
  "lattice_angstrom": [[-1.7146, 5.2181, -4.1005], [-3.5987, -6.0251, -6.1625], [-4.8303, 2.2303, 4.8579]],
  "species": ["Pm", "Pm", "Pm", "Pm", "Pm", "Pm", "Pm", "Pm", "Ac", "Ac", "Rh", "Rh", "Rh", "Rh"],
  "frac_coords": [[0.7500, 0.7854, 0.7495], [0.7500, 0.9999, 0.3354], [0.2500, 0.2146, 0.2505], [0.5004, 0.5581, 0.2809], [0.0004, 0.4419, 0.7191], [0.4996, 0.4419, 0.7191], [0.9996, 0.5581, 0.2809], [0.2500, 0.0001, 0.6646], [0.2500, 0.8041, 0.0475], [0.7500, 0.1959, 0.9525], [0.7500, 0.6678, 0.0402], [0.2500, 0.3322, 0.9598], [0.2500, 0.6665, 0.6265], [0.7500, 0.3335, 0.3735]]
}

Entry 7:
{
  "formula": "SiSb2Rh",
  "functional": "PBE-GGA",
  "state": "optimized geometry",
  "formation_energy_uncorrected_ev_per_atom": 0.395,
  "total_energy_ev_per_atom": -4.8599,
  "lattice_angstrom": [[4.8447, 0.0000, 0.0000], [2.4223, 4.1956, 0.0000], [2.4223, 1.3985, 3.9557]],
  "species": ["Rh", "Sb", "Sb", "Si"],
  "frac_coords": [[0.5000, 0.5000, 0.5000], [0.2500, 0.2500, 0.2500], [0.0000, 0.0000, 0.0000], [0.7500, 0.7500, 0.7500]]
}

Entry 8:
{
  "formula": "Sr2CuRh3",
  "functional": "PBE-GGA",
  "state": "optimized geometry",
  "total_energy_ev_per_atom": -5.1578,
  "lattice_angstrom": [[4.8735, -0.1442, -2.5661], [-3.0959, 4.5517, -0.2326], [-0.2518, 0.1023, 5.4355]],
  "species": ["Rh", "Rh", "Rh", "Sr", "Sr", "Cu"],
  "frac_coords": [[0.5000, 0.5000, 0.5000], [0.0000, 0.0000, 0.5000], [0.5000, 0.0000, 0.5000], [0.7521, 0.3760, 0.1280], [0.2479, 0.6240, 0.8720], [0.0000, 0.0000, 0.0000]]
}

| no. | DOS at the Fermi energy (states/eV/cell) | calculated volume (Å³ per cell) |
| --- | --- | --- |
| 1 | 2.9 | 102.6 |
| 2 | 8.5 | 227.0 |
| 3 | 2.4 | 188.9 |
| 4 | 1.7 | 139.4 |
| 5 | 145.7 | 3120.3 |
| 6 | 18.8 | 425.4 |
| 7 | 3.2 | 80.4 |
| 8 | 6.5 | 116.1 |